Here is crystalline Sr2NiAu at its relaxed geometry from Alexandria via LeMat-Bulk. Energies are from PBE-GGA.

## Properties
Formation enthalpy at 0 K ... -1.10 eV/f.u.
Total magnetization ... 0.000 μB/atom
VASP energy ... -13.53 eV for the cell shown

Cell lengths 3.7333, 3.7333, 7.5456 Å; angles 90.00, 90.00, 90.00 degrees
Positions (direct):
1 Sr 0.0000 0.0000 0.2366
2 Sr 0.0000 0.0000 0.7634
3 Ni 0.5000 0.5000 0.0000
4 Au 0.5000 0.5000 0.5000